The following is a DFT calculation (PBE with a Hubbard U) of a relaxed VIn2BiO8 crystal.

SG ... No. 65
N(E_F) ... 2.67 states/eV/f.u.
DFT total energy ... -72.5 eV per cell

The structure in POSCAR format:
```
VIn2BiO8
1.0
4.874 -0.090 -0.003
-0.075 4.873 -0.005
0.004 0.007 6.506
V In Bi O
1 2 1 8
Cartesian
0.000 0.000 0.000
2.403 2.397 4.954
2.401 2.393 1.543
0.002 0.004 3.253
0.831 3.964 1.457
3.462 3.457 6.500
3.969 0.822 1.459
3.972 0.826 5.040
1.341 1.333 -0.002
0.834 3.968 5.039
3.323 3.317 3.247
1.480 1.473 3.250
```